The following is a DFT calculation (GGA-PBE) of a relaxed SrWAu2 crystal.

The structure in POSCAR format:
```
SrWAu2
1.0
5.342 0.000 0.000
0.000 5.342 0.000
2.671 2.671 8.266
Sr Au W
2 4 2
Cartesian
2.671 2.671 0.000 Sr
2.671 5.342 4.133 Sr
4.618 1.335 2.067 Au
0.723 4.006 2.067 Au
4.006 3.394 6.200 Au
6.677 7.289 6.200 Au
0.000 0.000 0.000 W
5.342 2.671 4.133 W
```

Calculated values
Its density of states at the Fermi level is 0.98 states/eV/atom. Its formation energy from the elements is 0.6510 eV per atom. The raw total energy is -37.2 eV for the cell shown. Its total magnetization is 0.00 μB per formula unit.